A relaxed structure of Cs2YPbI6. Source: Alexandria via LeMat-Bulk, functional PBE.

The total magnetization is 1.0 μB/f.u. The raw formation energy is -1.154 eV/atom.

The structure belongs to space group I4/mmm (No. 139); the cell edges are 8.817, 8.817 and 13.690 Å and the angles 90.00°, 90.00° and 90.00°. The inequivalent atoms are Cs at (0.000, 0.500, 0.250), Y at (0.000, 0.000, 0.000), Pb at (0.000, 0.000, 0.500), I at (0.000, 0.000, 0.222) and I at (0.243, 0.243, 0.000).